Here is a geometry-optimized GdEr2Mg3Hg3 structure from OQMD via LeMat-Bulk. Energies are from PBE.

```
GdEr2Mg3Hg3
1.0
4.608 0.000 0.000
0.000 6.438 3.674
0.000 -6.438 3.674
Er Gd Hg Mg
2 1 3 3
Cartesian
0.000 3.728 5.212
0.000 -3.728 5.212
0.000 0.000 4.253
0.000 0.000 0.034
2.304 2.170 3.663
2.304 -2.170 3.663
2.304 0.000 1.787
2.304 1.553 6.461
2.304 -1.553 6.461
```

**Spin magnetization**: 0.01 μB/f.u.
**E**: -2.54 eV/atom

---

Here is a geometry-optimized PmGaNi structure from OQMD via LeMat-Bulk. Energies are from PBE.

```
PmGaNi
1.0
-6.853 -1.691 1.075
-0.312 -1.419 -4.220
1.957 -6.610 2.078
Ga Ni Pm
4 4 4
Cartesian
-4.553 -2.089 -0.141
-0.495 -3.374 -0.009
-4.713 -6.346 -1.058
-0.656 -7.631 -0.926
-2.035 -1.440 -0.546
-4.815 -4.468 0.678
-0.393 -5.252 -1.745
-3.174 -8.280 -0.521
-6.519 -3.987 -1.718
-2.871 -3.889 -2.020
-2.338 -5.830 0.954
1.311 -5.733 0.651
```

**Offset from the most stable computed form**: 0.00 kcal/mol of atoms
**Spin magnetization**: 0.00 μB/f.u.
**E**: -5.04 eV/atom

---

Here is a geometry-optimized Er2TmIn3Ir2 structure from OQMD via LeMat-Bulk. Energies are from PBE.

```
Er2TmIn3Ir2
1.0
3.620 0.000 0.000
0.000 6.563 3.790
0.000 -6.563 3.790
Er In Ir Tm
2 3 2 1
Cartesian
1.810 3.793 2.190
1.810 -3.793 2.190
0.000 1.540 0.890
0.000 -1.540 0.890
0.000 0.000 5.800
0.000 2.186 3.790
0.000 -2.186 3.790
1.810 0.000 3.200
```

**Spin magnetization**: 0.01 μB/f.u.
**E**: -5.60 eV/atom

---

Question: The highest E belongs to which entry?
Answer: GdEr2Mg3Hg3

---

Question: The highest E belongs to which entry?
Answer: GdEr2Mg3Hg3

---

Question: Which formula does entry 1 have?
Answer: GdEr2Mg3Hg3